{"formula": "TlAgOs2", "functional": "PBEsol", "state": "relaxed", "relative_energy_kj_per_mol_atoms": 40.2, "crystal_system": "cubic", "total_magnetization_mub_per_fu": 1.37, "formation_enthalpy_0k_ev_per_atom": 1.203, "cell": [[-4.391, -0.424, -0.921], [-2.342, -3.443, 1.724], [-3.061, 0.747, 3.223]], "species": ["Os", "Os", "Tl", "Ag"], "fractional_positions": [[0.250, 0.250, 0.250], [0.750, 0.750, 0.750], [0.500, 0.500, 0.500], [0.000, 0.000, 0.000]]}